No. 1
Compound: ScIr4
Source: Alexandria via LeMat-Bulk
Functional: PBE
Structure: relaxed

Computed properties:
* calculated formation energy: 1007 meV/atom
* relative energy among the computed polymorphs: 1421 meV per atom

Cell: 4.941 4.941 4.941 Å, 109.47 109.47 109.47°
Sites, in units of the cell vectors:
Ir (0.000, 0.000, 0.500)
Ir (0.500, 0.500, 0.500)
Sc (0.000, 0.000, 0.000)
Ir (0.000, 0.500, 0.000)
Ir (0.500, 0.000, 0.000)



No. 2
Compound: Sc5Ir
Source: Alexandria via LeMat-Bulk
Functional: PBE
Structure: relaxed

Computed properties:
* calculated formation energy: 540 meV/atom

Cell: 5.413 5.413 5.332 Å, 90.00 90.00 120.00°
Sites, in units of the cell vectors:
Sc (0.000, 0.500, 0.500)
Ir (0.000, 0.000, 0.000)
Sc (0.667, 0.333, 0.000)
Sc (0.500, 0.000, 0.500)
Sc (0.500, 0.500, 0.500)
Sc (0.333, 0.667, 0.000)



No. 3
Compound: Sc4Ir3
Source: Alexandria via LeMat-Bulk
Functional: PBE
Structure: relaxed

Computed properties:
* calculated formation energy: -580 meV/atom
* relative energy among the computed polymorphs: 335 meV per atom

Cell: 5.436 5.436 4.959 Å, 90.00 90.00 120.00°
Sites, in units of the cell vectors:
Ir (0.000, 0.500, 0.000)
Sc (0.000, 0.000, 0.236)
Sc (0.667, 0.333, 0.500)
Ir (0.500, 0.500, 0.000)
Ir (0.500, 0.000, 0.000)
Sc (0.333, 0.667, 0.500)
Sc (0.000, 0.000, 0.764)



No. 4
Compound: ScIr2Se
Source: Alexandria via LeMat-Bulk
Functional: PBE
Structure: relaxed

Computed properties:
* formation energy from raw total energies: -0.368 eV per atom

Cell: 3.924 3.053 5.702 Å, 74.52 90.00 90.00°
Sites, in units of the cell vectors:
Se (0.500, 0.949, 0.727)
Sc (0.000, 0.554, 0.517)
Ir (0.000, 0.803, 0.019)
Ir (0.500, 0.194, 0.237)



No. 5
Compound: Sc2IrSe
Source: Alexandria via LeMat-Bulk
Functional: PBE
Structure: relaxed

Computed properties:
* formation energy from raw total energies: -1.015 eV per atom

Cell: 3.842 3.839 5.524 Å, 90.00 90.00 90.00°
Sites, in units of the cell vectors:
Sc (0.500, 0.500, 0.323)
Se (0.000, 0.000, 0.402)
Sc (0.000, 0.000, 0.900)
Ir (0.500, 0.500, 0.875)



No. 6
Compound: Sc2IrSe
Source: Alexandria via LeMat-Bulk
Functional: PBE
Structure: relaxed

Computed properties:
* formation energy from raw total energies: -1.091 eV per atom

Cell: 5.409 5.409 4.120 Å, 90.00 90.00 38.71°
Sites, in units of the cell vectors:
Sc (0.736, 0.736, 0.625)
Se (0.465, 0.465, 0.625)
Ir (0.278, 0.278, 0.125)
Sc (0.022, 0.022, 0.125)



No. 7
Compound: Sc2IrSe
Source: Alexandria via LeMat-Bulk
Functional: PBE
Structure: relaxed

Computed properties:
* formation energy from raw total energies: -0.831 eV per atom

Cell: 4.751 4.751 4.751 Å, 126.13 113.70 90.49°
Sites, in units of the cell vectors:
Ir (0.250, 0.750, 0.500)
Sc (0.002, 0.002, 0.000)
Se (0.750, 0.250, 0.500)
Sc (0.498, 0.498, 0.000)



No. 8
Compound: ScIr2Se
Source: Alexandria via LeMat-Bulk
Functional: PBE
Structure: relaxed

Computed properties:
* formation energy from raw total energies: -0.153 eV per atom

Cell: 3.035 3.035 7.153 Å, 90.00 90.00 89.98°
Sites, in units of the cell vectors:
Se (0.500, 0.500, 0.763)
Sc (0.000, 0.000, 0.496)
Ir (0.500, 0.500, 0.245)
Ir (0.000, 0.000, 0.996)



No. 9
Compound: ScIrSe3
Source: Alexandria via LeMat-Bulk
Functional: PBE
Structure: relaxed

Computed properties:
* relative energy among the computed polymorphs: 0 meV per atom
* formation energy from raw total energies: 0.018 eV per atom

Cell: 4.895 4.895 4.895 Å, 90.00 90.00 90.00°
Sites, in units of the cell vectors:
Se (0.500, 0.000, 0.000)
Se (0.000, 0.000, 0.500)
Sc (0.500, 0.500, 0.500)
Se (0.000, 0.500, 0.000)
Ir (0.000, 0.000, 0.000)



No. 10
Compound: Sc2IrSe
Source: Alexandria via LeMat-Bulk
Functional: PBE
Structure: relaxed

Computed properties:
* formation energy from raw total energies: -1.088 eV per atom

Cell: 3.763 3.763 6.995 Å, 74.49 74.49 59.88°
Sites, in units of the cell vectors:
Sc (0.506, 0.506, 0.481)
Se (0.750, 0.750, 0.750)
Sc (0.994, 0.994, 0.019)
Ir (0.250, 0.250, 0.250)



No. 11
Compound: Sc2IrSe
Source: Alexandria via LeMat-Bulk
Functional: PBE
Structure: relaxed

Computed properties:
* formation energy from raw total energies: -0.698 eV per atom

Cell: 6.899 6.899 6.152 Å, 55.89 55.89 90.00°
Sites, in units of the cell vectors:
Sc (0.638, 0.125, 0.250)
Se (0.500, 0.500, 0.000)
Se (0.250, 0.750, 0.500)
Ir (0.000, 0.000, 0.000)
Sc (0.375, 0.362, 0.750)
Sc (0.112, 0.625, 0.250)
Ir (0.750, 0.250, 0.500)
Sc (0.875, 0.888, 0.750)



No. 12
Compound: ScIr2Se
Source: Alexandria via LeMat-Bulk
Functional: PBE
Structure: relaxed

Computed properties:
* formation energy from raw total energies: -0.316 eV per atom

Cell: 3.547 3.546 5.656 Å, 90.00 90.00 90.00°
Sites, in units of the cell vectors:
Se (0.500, 0.500, 0.721)
Ir (0.000, 0.000, 0.066)
Ir (0.500, 0.500, 0.200)
Sc (0.000, 0.000, 0.513)



> Which formula does entry 1 have?

ScIr4